Entry from Alexandria: ScTaRh2 at its PBEsol-relaxed geometry (meta-GGA SCAN).

Geometry as POSCAR:
```
ScTaRh2
1.0
2.997 0.000 0.000
0.000 2.997 0.000
0.000 0.000 7.011
Sc Rh Ta
1 2 1
Cartesian
1.498 1.498 0.000 Sc
0.000 0.000 5.249 Rh
0.000 0.000 1.763 Rh
1.498 1.498 3.506 Ta
```

=====

Entry from Alexandria: ScTaRh2 at its PBEsol-relaxed geometry (meta-GGA SCAN).

Geometry as POSCAR:
```
ScTaRh2
1.0
2.959 0.000 0.000
0.000 4.629 0.000
0.000 0.000 4.629
Sc Rh Ta
1 2 1
Cartesian
1.479 2.315 2.315 Sc
0.000 0.000 2.315 Rh
0.000 2.315 0.000 Rh
1.479 0.000 0.000 Ta
```

=====

Entry from Alexandria: ScTaRh2 at its PBEsol-relaxed geometry (meta-GGA SCAN).

Geometry as POSCAR:
```
ScTaRh2
1.0
-2.654 1.234 0.418
-1.995 -3.519 -2.271
-0.231 -1.925 4.215
Sc Rh Ta
1 2 1
Cartesian
-2.440 -2.105 1.181 Sc
-0.115 -0.962 2.107 Rh
-0.998 -1.760 -1.136 Rh
-1.327 0.617 0.209 Ta
```

=====

It is found that the formation energy values, taken in the order of the records, are -0.7726, -0.7576, -0.7597 eV per atom.